Record 1
Computed, not measured: Pm6CuGe2 after structural relaxation at the PBE level of DFT.

Calculated values
The volume is 531.8 Å³ per cell. As for the uncorrected energy: -4.95 eV/atom.

a b c (Å): 15.780 7.121 4.986
angles (deg): 90.00 108.36 90.00
Space group C2/m (No. 12)
One atom of each set of equivalent atoms:
Pm (0.000, 0.243, 0.000)
Pm (0.163, 0.246, 0.663)
Cu (0.000, 0.000, 0.500)
Ge (0.168, 0.500, 0.168)

Record 2
Computed, not measured: Dy4MgS5 after structural relaxation at the PBE level of DFT.

Calculated values
The volume is 410.9 Å³ per cell. The formation energy from raw total energies is -1.835 eV/atom.

a b c (Å): 8.653 8.653 5.488
angles (deg): 90.00 90.00 90.00
Space group I4/m (No. 87)
One atom of each set of equivalent atoms:
Dy (0.097, 0.696, 0.000)
Mg (0.000, 0.000, 0.500)
S (0.000, 0.000, 0.000)
S (0.097, 0.716, 0.500)